An optimized crystal structure of KRe4Au2, computed with GGA-PBE.

Cell lengths 7.182, 7.182, 2.774 Å; angles 90.00, 90.00, 95.09 degrees
Sites, in units of the cell vectors:
Re1 0.318 0.318 0.500
Re2 0.379 0.621 0.000
Re3 0.682 0.682 0.500
Re4 0.621 0.379 0.000
Au1 0.500 0.000 0.500
Au2 0.000 0.500 0.500
K1 0.000 0.000 0.000

Computed properties:
* space-group type: No. 65
* ρ: 13.72 g cm⁻³
* volume: 20.36 Å³/atom

An optimized crystal structure of ScCuOsPb, computed with GGA-PBE.

Cell lengths 4.640, 4.640, 4.640 Å; angles 60.00, 60.00, 60.00 degrees
Sites, in units of the cell vectors:
Os1 0.250 0.250 0.250
Sc1 0.500 0.500 0.500
Pb1 0.000 0.000 0.000
Cu1 0.750 0.750 0.750

Computed properties:
* space-group type: No. 216
* ρ: 11.89 g cm⁻³
* volume: 17.66 Å³/atom

An optimized crystal structure of HfCuSbPt, computed with GGA-PBE.

Cell lengths 4.685, 4.685, 4.685 Å; angles 60.00, 60.00, 60.00 degrees
Sites, in units of the cell vectors:
Hf1 0.250 0.250 0.250
Cu1 0.750 0.750 0.750
Pt1 0.500 0.500 0.500
Sb1 0.000 0.000 0.000

Computed properties:
* space-group type: No. 216
* ρ: 12.77 g cm⁻³
* volume: 18.17 Å³/atom

An optimized crystal structure of Hf2CS, computed with GGA-PBE.

Cell lengths 3.378, 3.378, 12.070 Å; angles 90.00, 90.00, 120.00 degrees
Sites, in units of the cell vectors:
C1 0.000 0.000 0.000
C2 0.000 0.000 0.500
Hf1 0.667 0.333 0.600
Hf2 0.333 0.667 0.100
Hf3 0.333 0.667 0.400
Hf4 0.667 0.333 0.900
S1 0.333 0.667 0.750
S2 0.667 0.333 0.250

Computed properties:
* space-group type: No. 194
* ρ: 11.17 g cm⁻³
* volume: 14.91 Å³/atom

An optimized crystal structure of Na2Al4PdAu, computed with GGA-PBE.

Cell lengths 7.284, 5.359, 5.359 Å; angles 46.87, 90.00, 90.00 degrees
Sites, in units of the cell vectors:
Al1 0.200 0.851 0.851
Al2 0.689 0.148 0.148
Al3 0.311 0.148 0.148
Al4 0.800 0.851 0.851
Na1 0.000 0.567 0.567
Na2 0.500 0.435 0.435
Au1 0.000 0.284 0.284
Pd1 0.500 0.716 0.716

Computed properties:
* space-group type: No. 38
* ρ: 4.97 g cm⁻³
* volume: 19.09 Å³/atom

An optimized crystal structure of PmAlRe, computed with GGA-PBE.

Cell lengths 4.599, 4.599, 4.599 Å; angles 60.00, 60.00, 60.00 degrees
Sites, in units of the cell vectors:
Pm1 0.750 0.750 0.750
Al1 0.250 0.250 0.250
Re1 0.000 0.000 0.000

Computed properties:
* space-group type: No. 216
* ρ: 8.65 g cm⁻³
* volume: 22.93 Å³/atom

An optimized crystal structure of ZnBi2Au, computed with GGA-PBE.

Cell lengths 5.229, 5.229, 5.229 Å; angles 60.00, 60.00, 60.00 degrees
Sites, in units of the cell vectors:
Zn1 0.750 0.750 0.750
Au1 0.500 0.500 0.500
Bi1 0.250 0.250 0.250
Bi2 0.000 0.000 0.000

Computed properties:
* space-group type: No. 216
* ρ: 11.18 g cm⁻³
* volume: 25.27 Å³/atom

An optimized crystal structure of YEr2Fe2CoNi6, computed with GGA-PBE.

Cell lengths 8.545, 8.545, 8.545 Å; angles 33.85, 33.85, 33.85 degrees
Sites, in units of the cell vectors:
Ni1 0.916 0.419 0.419
Ni2 0.084 0.581 0.581
Ni3 0.419 0.419 0.916
Ni4 0.419 0.916 0.419
Ni5 0.581 0.084 0.581
Ni6 0.581 0.581 0.084
Fe1 0.667 0.667 0.667
Fe2 0.333 0.333 0.333
Co1 0.500 0.500 0.500
Y1 0.000 0.000 0.000
Er1 0.140 0.140 0.140
Er2 0.860 0.860 0.860

Computed properties:
* space-group type: No. 166
* ρ: 9.11 g cm⁻³
* volume: 14.38 Å³/atom
* energy relative to the elements: -317 meV per atom

An optimized crystal structure of TcSnH2W, computed with GGA-PBE.

Cell lengths 3.105, 3.107, 6.321 Å; angles 90.00, 90.17, 90.00 degrees
Sites, in units of the cell vectors:
W1 0.724 0.000 0.573
Tc1 0.226 0.500 0.817
H1 0.719 0.500 0.412
H2 0.223 0.000 0.412
Sn1 0.728 0.000 0.100

Computed properties:
* space-group type: No. 6
* ρ: 10.96 g cm⁻³
* volume: 12.20 Å³/atom

An optimized crystal structure of ZrGeNO, computed with GGA-PBE.

Cell lengths 3.653, 6.359, 5.973 Å; angles 90.00, 90.00, 90.00 degrees
Sites, in units of the cell vectors:
Ge1 0.000 0.354 0.069
Ge2 0.000 0.646 0.569
N1 0.000 0.358 0.447
N2 0.000 0.642 0.947
O1 0.500 0.952 0.266
O2 0.500 0.048 0.766
Zr1 0.500 0.805 0.973
Zr2 0.500 0.195 0.473

Computed properties:
* space-group type: No. 26
* ρ: 4.64 g cm⁻³
* volume: 17.35 Å³/atom

An optimized crystal structure of Ho3In2As4, computed with GGA-PBE.

Cell lengths 6.057, 17.812, 4.139 Å; angles 90.00, 90.00, 90.00 degrees
Sites, in units of the cell vectors:
As1 0.223 0.815 0.500
As2 0.284 0.591 0.500
As3 0.723 0.685 0.000
As4 0.777 0.185 0.500
As5 0.784 0.909 0.000
As6 0.716 0.409 0.500
As7 0.216 0.091 0.000
As8 0.277 0.315 0.000
In1 0.838 0.587 0.500
In2 0.338 0.913 0.000
In3 0.162 0.413 0.500
In4 0.662 0.087 0.000
Ho1 0.275 0.199 0.500
Ho2 0.775 0.301 0.000
Ho3 0.500 0.500 0.000
Ho4 0.000 0.000 0.500
Ho5 0.725 0.801 0.500
Ho6 0.225 0.699 0.000

Computed properties:
* space-group type: No. 58
* ρ: 7.62 g cm⁻³
* volume: 24.81 Å³/atom

An optimized crystal structure of LaYSi2Au2, computed with GGA-PBE.

Cell lengths 4.347, 4.347, 8.098 Å; angles 90.00, 90.00, 120.00 degrees
Sites, in units of the cell vectors:
Si1 0.667 0.333 0.257
Si2 0.333 0.667 0.743
La1 0.000 0.000 0.000
Au1 0.667 0.333 0.729
Au2 0.333 0.667 0.271
Y1 0.000 0.000 0.500

Computed properties:
* space-group type: No. 164
* ρ: 8.49 g cm⁻³
* volume: 22.09 Å³/atom

An optimized crystal structure of HfTlFeHg, computed with GGA-PBE.

Cell lengths 4.814, 4.814, 4.814 Å; angles 60.00, 60.00, 60.00 degrees
Sites, in units of the cell vectors:
Fe1 0.750 0.750 0.750
Hg1 0.250 0.250 0.250
Tl1 0.000 0.000 0.000
Hf1 0.500 0.500 0.500

Computed properties:
* space-group type: No. 216
* ρ: 13.46 g cm⁻³
* volume: 19.72 Å³/atom

An optimized crystal structure of LiScOs2, computed with GGA-PBE.

Cell lengths 4.383, 4.383, 4.383 Å; angles 60.00, 60.00, 60.00 degrees
Sites, in units of the cell vectors:
Sc1 0.250 0.250 0.250
Os1 0.750 0.750 0.750
Os2 0.000 0.000 0.000
Li1 0.500 0.500 0.500

Computed properties:
* space-group type: No. 216
* ρ: 12.06 g cm⁻³
* volume: 14.89 Å³/atom

An optimized crystal structure of NdGd2Sn3Pt3, computed with GGA-PBE.

Cell lengths 4.088, 7.577, 7.577 Å; angles 120.14, 90.00, 90.00 degrees
Sites, in units of the cell vectors:
Sn1 0.500 0.001 0.745
Sn2 0.500 0.255 0.255
Sn3 0.500 0.745 0.001
Pt1 0.500 0.668 0.329
Pt2 0.000 0.003 0.003
Pt3 0.500 0.329 0.668
Nd1 0.000 0.591 0.591
Gd1 0.000 0.000 0.408
Gd2 0.000 0.408 0.000

Computed properties:
* space-group type: No. 38
* ρ: 11.46 g cm⁻³
* volume: 22.55 Å³/atom

An optimized crystal structure of SrScCdPt2, computed with GGA-PBE.

Cell lengths 6.824, 6.824, 6.824 Å; angles 142.76, 142.76, 53.69 degrees
Sites, in units of the cell vectors:
Pt1 0.141 0.641 0.500
Pt2 0.359 0.859 0.500
Sr1 0.750 0.250 0.500
Cd1 0.000 0.000 0.000
Sc1 0.500 0.500 0.000

Computed properties:
* space-group type: No. 119
* ρ: 9.12 g cm⁻³
* volume: 23.13 Å³/atom

An optimized crystal structure of SmBO3, computed with GGA-PBE.

Cell lengths 4.982, 4.982, 4.982 Å; angles 120.50, 120.50, 89.14 degrees
Sites, in units of the cell vectors:
O1 0.232 0.732 0.965
O2 0.250 0.250 0.000
O3 0.768 0.268 0.035
O4 0.750 0.750 0.000
O5 0.268 0.232 0.500
O6 0.732 0.768 0.500
B1 0.000 0.000 0.000
B2 0.500 0.500 0.000
Sm1 0.750 0.250 0.500
Sm2 0.250 0.750 0.500

Computed properties:
* space-group type: No. 140
* ρ: 8.01 g cm⁻³
* volume: 8.68 Å³/atom

An optimized crystal structure of Pr3GdPt4, computed with GGA-PBE.

Cell lengths 5.717, 4.610, 7.329 Å; angles 90.00, 90.46, 90.00 degrees
Sites, in units of the cell vectors:
Pt1 0.658 0.500 0.463
Pt2 0.848 0.500 0.947
Pt3 0.150 0.000 0.040
Pt4 0.345 0.000 0.547
Pr1 0.139 0.500 0.320
Pr2 0.360 0.500 0.816
Pr3 0.640 0.000 0.183
Gd1 0.860 0.000 0.683

Computed properties:
* space-group type: No. 6
* ρ: 11.70 g cm⁻³
* volume: 24.14 Å³/atom
* energy relative to the elements: -1149 meV per atom

An optimized crystal structure of SmYAsO, computed with GGA-PBE.

Cell lengths 4.326, 4.326, 9.059 Å; angles 90.00, 90.00, 90.00 degrees
Sites, in units of the cell vectors:
O1 0.000 0.000 0.000
O2 0.500 0.500 0.000
Sm1 0.000 0.000 0.500
Sm2 0.500 0.500 0.500
Y1 0.000 0.500 0.902
Y2 0.500 0.000 0.098
As1 0.000 0.500 0.287
As2 0.500 0.000 0.713

Computed properties:
* space-group type: No. 129
* ρ: 6.47 g cm⁻³
* volume: 21.19 Å³/atom

An optimized crystal structure of SmZnPd, computed with GGA-PBE.

Cell lengths 7.984, 7.984, 3.327 Å; angles 90.00, 90.00, 120.00 degrees
Sites, in units of the cell vectors:
Zn1 0.667 0.333 0.000
Zn2 0.000 0.000 0.500
Zn3 0.333 0.667 0.000
Sm1 0.708 0.708 0.000
Sm2 0.292 0.000 0.000
Sm3 0.000 0.292 0.000
Pd1 0.630 0.000 0.500
Pd2 0.000 0.630 0.500
Pd3 0.370 0.370 0.500

Computed properties:
* space-group type: No. 189
* ρ: 8.74 g cm⁻³
* volume: 20.41 Å³/atom
* energy relative to the elements: -359 meV per atom

E_tot
In order: -7.52; -6.10; -6.28; -9.66; -3.59; -6.45; -2.97; -6.38; -6.80; -7.87; -5.03; -5.64; -4.84; -7.71; -5.99; -5.03; -7.47; -6.55; -7.01; -4.08
Unit: eV per atom